No. 1
Density functional theory data (PBE) for TaAl2Tc after structural relaxation.

## Properties
As for the total DFT energy (no corrections): -7.696 eV/atom. Its energy relative to the elements is -26 kJ per mole of atoms. The value obtained for the calculated volume is 15.6 Å³ per atom. The total magnetization is 0.000 μB per atom. As for the space group: No. 12.

```
data_TaAl2Tc
_symmetry_space_group_name_H-M 'P 1'
_symmetry_Int_Tables_number 1
_cell_length_a 5.176
_cell_length_b 5.176
_cell_length_c 4.478
_cell_angle_alpha 115.51
_cell_angle_beta 115.51
_cell_angle_gamma 35.81
loop_
_symmetry_equiv_pos_as_xyz
'x,y,z'
loop_
_atom_site_label
_atom_site_fract_x
_atom_site_fract_y
_atom_site_fract_z
_atom_site_occupancy
Ta1 0.000 0.000 0.000 1
Al1 0.239 0.239 0.739 1
Al2 0.761 0.761 0.261 1
Tc1 0.500 0.500 0.500 1
```


No. 2
Density functional theory data (PBE) for AcScZnPt2 after structural relaxation.

## Properties
As for the total DFT energy (no corrections): -5.769 eV/atom. Its energy relative to the elements is -97 kJ per mole of atoms. The value obtained for the calculated volume is 22.0 Å³ per atom. The total magnetization is 0.000 μB per atom. As for the space group: No. 119.

```
data_AcScZnPt2
_symmetry_space_group_name_H-M 'P 1'
_symmetry_Int_Tables_number 1
_cell_length_a 6.937
_cell_length_b 6.937
_cell_length_c 6.937
_cell_angle_alpha 144.87
_cell_angle_beta 144.87
_cell_angle_gamma 50.53
loop_
_symmetry_equiv_pos_as_xyz
'x,y,z'
loop_
_atom_site_label
_atom_site_fract_x
_atom_site_fract_y
_atom_site_fract_z
_atom_site_occupancy
Ac1 0.000 0.000 0.000 1
Sc1 0.250 0.750 0.500 1
Zn1 0.750 0.250 0.500 1
Pt1 0.388 0.388 0.000 1
Pt2 0.612 0.612 0.000 1
```